1.
Density functional theory data (PBE) for an optimized crystal structure of Y4C3.

Calculated values
- Symmetry: No. 220
- Offset from the most stable computed form: 0.000 eV per atom
- Formation enthalpy at 0 K: -0.23 eV per atom

a b c (Å): 6.850 6.850 6.850
angles (deg): 109.47 109.47 109.47
Fractional positions:
Y  0.411  0.500  0.000
Y  0.500  0.411  0.500
Y  0.000  0.000  0.411
Y  0.589  0.089  0.089
Y  0.000  0.000  0.911
Y  0.089  0.589  0.589
Y  0.911  0.500  0.000
Y  0.500  0.911  0.500
C  0.125  0.375  0.250
C  0.625  0.750  0.875
C  0.875  0.250  0.625
C  0.250  0.875  0.125
C  0.750  0.625  0.375
C  0.375  0.125  0.750

***

2.
Density functional theory data (PBE) for an optimized crystal structure of CaNd2In2Ag2.

Calculated values
- Symmetry: No. 166
- Formation enthalpy at 0 K: -0.29 eV per atom

a b c (Å): 4.914 4.914 9.700
angles (deg): 75.33 75.33 60.00
Fractional positions:
Ca  0.000  0.000  0.000
Nd  0.126  0.126  0.621
Nd  0.874  0.874  0.379
In  0.740  0.740  0.781
In  0.260  0.260  0.219
Ag  0.599  0.599  0.202
Ag  0.401  0.401  0.798

***

Number 1: E -55.14 eV per formula unit, density of states at the Fermi level 0.053 states/eV/cell. Number 2: E -24.74 eV per formula unit, density of states at the Fermi level 4.306 states/eV/cell.